# 1
The following is a DFT calculation (PBE) of crystalline Y5InSi2 at its relaxed geometry.

Properties
Its uncorrected formation energy is -0.63 eV per atom. For the total moment, the calculation gives 0.1 μB/f.u. The space group is I4/mcm.

Cell and atoms, written as POSCAR:
```
Y5InSi2
1.0
6.982 0.000 -3.296
-1.556 6.807 -3.296
-0.078 -0.098 8.878
Y In Si
10 2 4
Direct
0.527 0.695 0.722 Y
0.805 0.973 0.278 Y
0.000 0.000 0.000 Y
0.500 0.500 0.000 Y
0.195 0.027 0.722 Y
0.695 0.195 0.722 Y
0.027 0.527 0.722 Y
0.305 0.805 0.278 Y
0.973 0.473 0.278 Y
0.473 0.305 0.278 Y
0.750 0.750 0.500 In
0.250 0.250 0.500 In
0.132 0.368 0.000 Si
0.632 0.132 0.000 Si
0.368 0.868 0.000 Si
0.868 0.632 0.000 Si
```


# 2
The following is a DFT calculation (PBE) of crystalline YIn2Si at its relaxed geometry.

Properties
Its uncorrected formation energy is 0.00 eV per atom. For the total moment, the calculation gives 0.0 μB/f.u. The space group is R3m. The value obtained for the excess energy over the best structure of this formula in the dataset is 303 meV per atom.

Cell and atoms, written as POSCAR:
```
YIn2Si
1.0
9.568 -0.003 -0.002
8.923 3.454 -0.002
8.923 1.665 3.026
In Si Y
2 1 1
Direct
0.998 0.998 0.998 In
0.243 0.243 0.243 In
0.502 0.502 0.502 Si
0.757 0.757 0.757 Y
```


# 3
The following is a DFT calculation (PBE) of crystalline YbInSi3 at its relaxed geometry.

Properties
Its uncorrected formation energy is -0.01 eV per atom. For the total moment, the calculation gives 0.0 μB/f.u. The space group is Cm.

Cell and atoms, written as POSCAR:
```
YbInSi3
1.0
-4.198 -2.143 0.400
2.157 -4.197 0.326
1.223 3.628 4.333
Si Yb In
3 1 1
Direct
0.780 0.280 0.560 Si
0.280 0.780 0.560 Si
0.365 0.365 0.731 Si
0.024 0.024 0.047 Yb
0.641 0.641 0.281 In
```


What total energy values result from the calculations? In sequence: -6.370; -4.338; -4.116 eV per atom.